*P*
The following is a DFT calculation (PBE-GGA) of a relaxed structure of CaCrCu2.

POSCAR file:
```
CaCrCu2
1.0
-0.368 0.248 4.602
3.770 -0.404 2.645
1.647 3.684 2.256
Cr Ca Cu
1 1 2
Direct
0.750 0.750 0.750
0.500 0.500 0.500
0.000 0.000 0.000
0.250 0.250 0.250
```

=====

*Q*
The following is a DFT calculation (PBE-GGA) of a relaxed structure of CaCrCu2.

POSCAR file:
```
CaCrCu2
1.0
-2.729 0.746 3.679
-0.044 -4.555 0.891
5.618 -0.992 7.297
Cr Ca Cu
2 2 4
Direct
0.000 0.000 0.000
0.750 0.250 0.500
0.500 0.500 0.000
0.250 0.750 0.500
0.875 0.125 0.250
0.875 0.625 0.250
0.375 0.125 0.750
0.875 0.125 0.750
```

=====

*R*
The following is a DFT calculation (PBE-GGA) of a relaxed structure of CaCrCu2.

POSCAR file:
```
CaCrCu2
1.0
-0.227 2.463 2.129
0.459 -2.089 2.465
6.633 0.970 -0.414
Cr Ca Cu
1 1 2
Direct
0.500 0.500 0.817
0.000 0.000 0.480
0.000 0.000 0.012
0.500 0.500 0.191
```

=====

*S*
The following is a DFT calculation (PBE-GGA) of a relaxed structure of CaCrCu2.

POSCAR file:
```
CaCrCu2
1.0
5.149 -0.014 0.000
1.983 4.752 0.000
-3.566 -2.369 2.861
Cr Ca Cu
1 1 2
Direct
0.750 0.250 0.500
0.500 0.500 0.000
0.000 0.000 0.000
0.250 0.750 0.500
```

=====

What should be chosen as the least stable of them? Choose *Q*.

=====

*P*
The following is a DFT calculation (PBE-GGA) of a relaxed structure of CaCrCu2.

POSCAR file:
```
CaCrCu2
1.0
4.010 0.000 0.000
0.000 3.612 0.240
0.000 1.471 5.343
Cr Ca Cu
1 1 2
Direct
0.500 0.759 0.856
0.000 0.468 0.438
0.000 0.203 0.970
0.500 0.070 0.235
```

=====

*Q*
The following is a DFT calculation (PBE-GGA) of a relaxed structure of CaCrCu2.

POSCAR file:
```
CaCrCu2
1.0
-3.021 -0.464 1.231
1.303 -1.122 2.775
1.358 4.938 5.197
Cr Ca Cu
1 1 2
Direct
0.500 0.750 0.750
0.500 0.250 0.250
0.000 0.055 0.944
0.000 0.445 0.556
```

=====

What should be chosen as the least stable of them? Choose *P*.

=====

*P*
The following is a DFT calculation (PBE-GGA) of a relaxed structure of CaCr2Cu.

POSCAR file:
```
CaCr2Cu
1.0
-4.892 -1.436 2.477
-2.554 -1.788 4.734
-2.128 3.554 2.759
Cr Ca Cu
2 1 1
Direct
0.962 0.962 0.039
0.538 0.538 0.461
0.750 0.750 0.750
0.250 0.250 0.250
```

=====

*Q*
The following is a DFT calculation (PBE-GGA) of a relaxed structure of CaCr2Cu.

POSCAR file:
```
CaCr2Cu
1.0
3.080 0.550 0.000
-0.550 3.080 0.000
0.000 0.000 7.053
Cr Ca Cu
2 1 1
Direct
0.000 0.000 0.077
0.500 0.500 0.233
0.500 0.500 0.742
0.000 0.000 0.449
```

=====

*R*
The following is a DFT calculation (PBE-GGA) of a relaxed structure of CaCr2Cu.

POSCAR file:
```
CaCr2Cu
1.0
9.255 0.047 0.028
8.694 3.173 0.028
8.694 1.560 2.764
Cr Ca Cu
2 1 1
Direct
0.986 0.986 0.986
0.514 0.514 0.514
0.750 0.750 0.750
0.250 0.250 0.250
```

=====

What should be chosen as the least stable of them? Choose *R*.

=====

*P*
The following is a DFT calculation (PBE-GGA) of a relaxed structure of CaCr2Cu.

POSCAR file:
```
CaCr2Cu
1.0
5.102 0.000 -0.001
-2.456 5.083 0.001
0.190 0.879 2.857
Cr Ca Cu
2 1 1
Direct
0.000 0.000 0.000
0.500 0.000 0.500
0.500 0.500 0.000
0.000 0.500 0.500
```

=====

*Q*
The following is a DFT calculation (PBE-GGA) of a relaxed structure of CaCr2Cu.

POSCAR file:
```
CaCr2Cu
1.0
-2.958 -2.991 -2.039
3.243 -3.363 0.146
-1.244 2.246 3.906
Cr Ca Cu
2 1 1
Direct
0.000 0.000 0.000
0.750 0.250 0.500
0.250 0.750 0.500
0.500 0.500 0.000
```

=====

*R*
The following is a DFT calculation (PBE-GGA) of a relaxed structure of CaCr2Cu.

POSCAR file:
```
CaCr2Cu
1.0
3.377 -0.003 0.000
0.003 3.377 0.000
0.000 0.000 6.343
Cr Ca Cu
2 1 1
Direct
0.000 0.000 0.105
0.000 0.000 0.395
0.500 0.500 0.750
0.500 0.500 0.250
```

=====

What should be chosen as the least stable of them? Choose *P*.

=====

*P*
The following is a DFT calculation (PBE-GGA) of a relaxed structure of CaCr2Cu.

POSCAR file:
```
CaCr2Cu
1.0
0.000 3.325 3.325
3.325 0.000 3.325
3.325 3.325 0.000
Cr Ca Cu
2 1 1
Direct
0.250 0.250 0.250
0.750 0.750 0.750
0.000 0.000 0.000
0.500 0.500 0.500
```

=====

*Q*
The following is a DFT calculation (PBE-GGA) of a relaxed structure of CaCr2Cu.

POSCAR file:
```
CaCr2Cu
1.0
-3.487 3.780 -0.431
-4.663 -2.101 0.685
4.277 -0.311 2.870
Cr Ca Cu
2 1 1
Direct
0.000 0.000 0.000
0.500 0.500 0.000
0.750 0.250 0.500
0.250 0.750 0.500
```

=====

*R*
The following is a DFT calculation (PBE-GGA) of a relaxed structure of CaCr2Cu.

POSCAR file:
```
CaCr2Cu
1.0
-0.133 3.651 -1.826
-0.480 -1.828 -3.620
-9.608 1.132 -1.601
Cr Ca Cu
4 2 2
Direct
0.875 0.125 0.250
0.875 0.625 0.250
0.375 0.125 0.750
0.875 0.125 0.750
0.500 0.500 0.000
0.250 0.750 0.500
0.000 0.000 0.000
0.750 0.250 0.500
```

=====

What should be chosen as the least stable of them? Choose *R*.

=====

*P*
The following is a DFT calculation (PBE-GGA) of a relaxed structure of CaZnCrCu.

POSCAR file:
```
CaZnCrCu
1.0
3.292 0.000 0.000
0.000 3.295 0.000
0.000 0.000 6.785
Cr Zn Ca Cu
1 1 1 1
Direct
0.500 0.000 0.249
0.000 0.500 0.041
0.500 0.000 0.727
0.000 0.500 0.430
```

=====

*Q*
The following is a DFT calculation (PBE-GGA) of a relaxed structure of CaZnCrCu.

POSCAR file:
```
CaZnCrCu
1.0
-1.084 2.299 -3.557
-0.998 -4.250 0.244
-13.179 3.452 6.248
Cr Zn Ca Cu
3 3 3 3
Direct
0.000 0.000 0.282
0.333 0.667 0.948
0.667 0.333 0.615
0.000 0.000 0.578
0.333 0.667 0.244
0.667 0.333 0.911
0.000 0.000 0.776
0.333 0.667 0.442
0.667 0.333 0.109
0.000 0.000 0.969
0.333 0.667 0.636
0.667 0.333 0.303
```

=====

What should be chosen as the least stable of them? Choose *P*.

=====

*P*
The following is a DFT calculation (PBE-GGA) of a relaxed structure of CaZnCrCu.

POSCAR file:
```
CaZnCrCu
1.0
3.248 0.000 0.000
0.000 4.780 0.000
0.000 0.000 9.566
Cr Zn Ca Cu
2 2 2 2
Direct
0.000 0.000 0.176
0.500 0.500 0.676
0.000 0.000 0.608
0.500 0.500 0.108
0.000 0.500 0.385
0.500 0.000 0.885
0.000 0.500 0.903
0.500 0.000 0.403
```

=====

*Q*
The following is a DFT calculation (PBE-GGA) of a relaxed structure of CaZnCrCu.

POSCAR file:
```
CaZnCrCu
1.0
-0.030 4.398 -1.449
-1.944 0.926 2.851
3.708 0.775 2.276
Cr Zn Ca Cu
1 1 1 1
Direct
0.500 0.500 0.638
0.500 0.000 0.138
0.000 0.500 0.139
0.000 0.000 0.639
```

=====

What should be chosen as the least stable of them? Choose *Q*.